1.
Here is SrNdTm after structural relaxation from Alexandria. Energies are from PBE.

Properties
For the formation energy, the calculation gives 142 meV/atom.

The structure in CIF format:
```
data_SrNdTm
_symmetry_space_group_name_H-M 'P 1'
_symmetry_Int_Tables_number 1
_cell_length_a 3.750
_cell_length_b 3.750
_cell_length_c 9.316
_cell_angle_alpha 90.00
_cell_angle_beta 90.00
_cell_angle_gamma 120.00
loop_
_symmetry_equiv_pos_as_xyz
'x,y,z'
loop_
_atom_site_label
_atom_site_fract_x
_atom_site_fract_y
_atom_site_fract_z
Sr1 0.000 0.000 0.000
Nd1 0.667 0.333 0.363
Tm1 0.333 0.667 0.656
```


2.
Here is NiSe3 after structural relaxation from Alexandria. Energies are from PBE.

Properties
The value obtained for the formation energy (no corrections) is 160 meV/atom.

The structure in CIF format:
```
data_NiSe3
_symmetry_space_group_name_H-M 'P 1'
_symmetry_Int_Tables_number 1
_cell_length_a 3.337
_cell_length_b 3.337
_cell_length_c 8.389
_cell_angle_alpha 90.00
_cell_angle_beta 90.00
_cell_angle_gamma 120.00
loop_
_symmetry_equiv_pos_as_xyz
'x,y,z'
loop_
_atom_site_label
_atom_site_fract_x
_atom_site_fract_y
_atom_site_fract_z
Ni1 0.000 0.000 0.000
Se1 0.000 0.000 0.500
Se2 0.667 0.333 0.169
Se3 0.667 0.333 0.831
```


3.
Here is Ac8Sn5Pb after structural relaxation from Alexandria. Energies are from PBE.

Properties
For the formation energy, the calculation gives -673 meV/atom.

The structure in CIF format:
```
data_Ac8Sn5Pb
_symmetry_space_group_name_H-M 'P 1'
_symmetry_Int_Tables_number 1
_cell_length_a 8.853
_cell_length_b 8.853
_cell_length_c 8.853
_cell_angle_alpha 109.51
_cell_angle_beta 109.51
_cell_angle_gamma 109.40
loop_
_symmetry_equiv_pos_as_xyz
'x,y,z'
loop_
_atom_site_label
_atom_site_fract_x
_atom_site_fract_y
_atom_site_fract_z
Ac1 0.013 0.124 0.751
Ac2 0.240 0.489 0.614
Ac3 0.373 0.262 0.249
Ac4 0.373 0.760 0.249
Ac5 0.511 0.124 0.751
Ac6 0.738 0.987 0.111
Ac7 0.876 0.627 0.386
Ac8 0.876 0.627 0.889
Sn1 0.126 0.001 0.375
Sn2 0.250 0.874 0.875
Sn3 0.500 0.500 0.000
Sn4 0.626 0.750 0.625
Sn5 0.999 0.374 0.125
Pb1 0.750 0.250 0.500
```


4.
Here is LaNiP4 after structural relaxation from Alexandria. Energies are from PBE.

Properties
For the formation energy, the calculation gives 5 meV/atom.

The structure in CIF format:
```
data_LaNiP4
_symmetry_space_group_name_H-M 'P 1'
_symmetry_Int_Tables_number 1
_cell_length_a 5.267
_cell_length_b 5.267
_cell_length_c 5.267
_cell_angle_alpha 60.00
_cell_angle_beta 60.00
_cell_angle_gamma 60.00
loop_
_symmetry_equiv_pos_as_xyz
'x,y,z'
loop_
_atom_site_label
_atom_site_fract_x
_atom_site_fract_y
_atom_site_fract_z
La1 0.000 0.000 0.000
Ni1 0.750 0.750 0.750
P1 0.387 0.387 0.387
P2 0.387 0.387 0.839
P3 0.387 0.839 0.387
P4 0.839 0.387 0.387
```


5.
Here is LiCd2SbN after structural relaxation from Alexandria. Energies are from PBE.

Properties
The value obtained for the formation energy (no corrections) is 138 meV/atom.

The structure in CIF format:
```
data_LiCd2SbN
_symmetry_space_group_name_H-M 'P 1'
_symmetry_Int_Tables_number 1
_cell_length_a 4.743
_cell_length_b 4.743
_cell_length_c 4.100
_cell_angle_alpha 90.00
_cell_angle_beta 90.00
_cell_angle_gamma 90.00
loop_
_symmetry_equiv_pos_as_xyz
'x,y,z'
loop_
_atom_site_label
_atom_site_fract_x
_atom_site_fract_y
_atom_site_fract_z
Li1 0.000 0.000 0.000
Cd1 0.000 0.500 0.500
Cd2 0.500 0.000 0.500
Sb1 0.500 0.500 0.000
N1 0.000 0.000 0.500
```


6.
Here is SrAc2Cl8 after structural relaxation from Alexandria. Energies are from PBE.

Properties
The value obtained for the formation energy (no corrections) is -2414 meV/atom.

The structure in CIF format:
```
data_SrAc2Cl8
_symmetry_space_group_name_H-M 'P 1'
_symmetry_Int_Tables_number 1
_cell_length_a 8.723
_cell_length_b 8.723
_cell_length_c 9.027
_cell_angle_alpha 99.85
_cell_angle_beta 99.85
_cell_angle_gamma 33.76
loop_
_symmetry_equiv_pos_as_xyz
'x,y,z'
loop_
_atom_site_label
_atom_site_fract_x
_atom_site_fract_y
_atom_site_fract_z
Sr1 0.000 0.000 0.000
Ac1 0.242 0.242 0.740
Ac2 0.758 0.758 0.260
Cl1 0.073 0.073 0.733
Cl2 0.214 0.214 0.085
Cl3 0.308 0.308 0.449
Cl4 0.418 0.418 0.851
Cl5 0.582 0.582 0.149
Cl6 0.692 0.692 0.551
Cl7 0.786 0.786 0.915
Cl8 0.927 0.927 0.267
```


7.
Here is Li2ReAg2 after structural relaxation from Alexandria. Energies are from PBE.

Properties
For the formation energy, the calculation gives 748 meV/atom.

The structure in CIF format:
```
data_Li2ReAg2
_symmetry_space_group_name_H-M 'P 1'
_symmetry_Int_Tables_number 1
_cell_length_a 7.114
_cell_length_b 7.114
_cell_length_c 7.114
_cell_angle_alpha 151.81
_cell_angle_beta 151.81
_cell_angle_gamma 40.29
loop_
_symmetry_equiv_pos_as_xyz
'x,y,z'
loop_
_atom_site_label
_atom_site_fract_x
_atom_site_fract_y
_atom_site_fract_z
Li1 0.250 0.750 0.500
Li2 0.750 0.250 0.500
Re1 0.000 0.000 0.000
Ag1 0.397 0.397 0.000
Ag2 0.603 0.603 0.000
```


8.
Here is BaCuSb2 after structural relaxation from Alexandria. Energies are from PBE.

Properties
The value obtained for the formation energy (no corrections) is -41 meV/atom.

The structure in CIF format:
```
data_BaCuSb2
_symmetry_space_group_name_H-M 'P 1'
_symmetry_Int_Tables_number 1
_cell_length_a 5.459
_cell_length_b 5.459
_cell_length_c 5.459
_cell_angle_alpha 60.00
_cell_angle_beta 60.00
_cell_angle_gamma 60.00
loop_
_symmetry_equiv_pos_as_xyz
'x,y,z'
loop_
_atom_site_label
_atom_site_fract_x
_atom_site_fract_y
_atom_site_fract_z
Ba1 0.000 0.000 0.000
Cu1 0.250 0.250 0.250
Sb1 0.500 0.500 0.500
Sb2 0.750 0.750 0.750
```


| no. | density of states at the Fermi level (states/eV/atom) | spin magnetization (μB per cell) |
| --- | --- | --- |
| 1 | 1.448 | 0.0 |
| 2 | 0.848 | 0.0 |
| 3 | 0.083 | 0.0 |
| 4 | 0.451 | 0.0 |
| 5 | 0.594 | 0.0 |
| 6 | 0.000 | 0.0 |
| 7 | 0.484 | 1.0 |
| 8 | 0.381 | 0.0 |